Here is a relaxed structure of Na2MnO2 from Alexandria via LeMat-Bulk. Energies are from PBE with a Hubbard U.

Values from the calculation:
For the total DFT energy (no corrections), the calculation gives -5.38 eV/atom. As for the density of states at the Fermi level: 0.206 states/eV/f.u. As for the symmetry: Ibam, No. 72.

Lattice parameters (Å, degrees): 5.8284 6.0277 5.8113 118.82 90.00 118.91
Each line ends with the local moment (μB).
Fractional coordinates of all 10 atoms:
O (0.9032, 0.8064, 0.6883)  0.07
O (0.4032, 0.8064, 0.1181)  0.07
Na (0.6535, 0.3070, 0.5516)  0.00
Mn (0.7500, 0.0000, 0.0000)  4.54
Na (0.3465, 0.6930, 0.4484)  0.00
Na (0.1535, 0.3070, 0.7553)  0.00
O (0.0968, 0.1936, 0.3117)  0.07
Na (0.8465, 0.6930, 0.2447)  0.00
O (0.5968, 0.1936, 0.8819)  0.07
Mn (0.2500, 0.0000, 0.0000)  4.54